First-principles (GGA-PBE) data for an optimized crystal structure of BePbO2, as listed in Alexandria via LeMat-Bulk.

The excess energy over the best structure of this formula in the dataset is 109.7 meV per atom. The value obtained for the raw formation energy is -160.5 kJ/mol of atoms. The electronic total energy is -6.001 eV per atom. The space group is I-42d (122).

Lattice parameters (Å, degrees): 5.135 5.135 5.135 119.00 119.00 91.74
Positions (direct):
Be (0.000, 0.000, 0.000)
Be (0.750, 0.250, 0.500)
Pb (0.250, 0.750, 0.500)
Pb (0.500, 0.500, 0.000)
O (0.375, 0.014, 0.139)
O (0.764, 0.625, 0.639)
O (0.875, 0.236, 0.861)
O (0.986, 0.125, 0.361)


First-principles (GGA-PBE) data for an optimized crystal structure of BaTlP, as listed in Alexandria via LeMat-Bulk.

The excess energy over the best structure of this formula in the dataset is 478.8 meV per atom. The electronic total energy is -3.379 eV per atom. The space group is F-43m (216). The energy relative to the elements comes out at -146 meV per atom.

Lattice parameters (Å, degrees): 5.356 5.356 5.356 60.00 60.00 60.00
Positions (direct):
Ba (0.000, 0.000, 0.000)
Tl (0.750, 0.750, 0.750)
P (0.250, 0.250, 0.250)


First-principles (GGA-PBE) data for an optimized crystal structure of CaTaPb, as listed in Alexandria via LeMat-Bulk.

The excess energy over the best structure of this formula in the dataset is 0.0 meV per atom. The electronic total energy is -5.493 eV per atom. The space group is Fmm2 (42). The energy relative to the elements comes out at 361 meV per atom.

Lattice parameters (Å, degrees): 7.819 7.718 3.172 80.03 76.43 23.55
Positions (direct):
Ca (0.000, 0.000, 0.000)
Ta (0.668, 0.668, 0.332)
Pb (0.318, 0.318, 0.682)


First-principles (GGA-PBE) data for an optimized crystal structure of Cd3Au2, as listed in Alexandria via LeMat-Bulk.

The excess energy over the best structure of this formula in the dataset is 94.5 meV per atom. The electronic total energy is -1.948 eV per atom. The space group is Immm (71). The energy relative to the elements comes out at -88 meV per atom.

Lattice parameters (Å, degrees): 8.029 8.029 8.029 155.21 152.04 37.71
Positions (direct):
Cd (0.000, 0.000, 0.000)
Cd (0.390, 0.390, 0.000)
Cd (0.610, 0.610, 0.000)
Au (0.198, 0.198, 0.000)
Au (0.802, 0.802, 0.000)


First-principles (GGA-PBE) data for an optimized crystal structure of Sm5Tl2Rh, as listed in Alexandria via LeMat-Bulk.

The excess energy over the best structure of this formula in the dataset is 0.0 meV per atom. The electronic total energy is -4.887 eV per atom. The space group is Pbam (55). The energy relative to the elements comes out at -427 meV per atom.

Lattice parameters (Å, degrees): 7.797 12.393 4.824 90.00 90.00 90.00
Positions (direct):
Sm (0.000, 0.000, 0.000)
Sm (0.134, 0.295, 0.000)
Sm (0.184, 0.574, 0.500)
Sm (0.316, 0.074, 0.500)
Sm (0.366, 0.795, 0.000)
Sm (0.500, 0.500, 0.000)
Sm (0.634, 0.205, 0.000)
Sm (0.684, 0.926, 0.500)
Sm (0.816, 0.426, 0.500)
Sm (0.866, 0.705, 0.000)
Tl (0.081, 0.832, 0.500)
Tl (0.419, 0.332, 0.500)
Tl (0.581, 0.668, 0.500)
Tl (0.919, 0.168, 0.500)
Rh (0.000, 0.500, 0.000)
Rh (0.500, 0.000, 0.000)


First-principles (GGA-PBE) data for an optimized crystal structure of K2CeRe3O12, as listed in Alexandria via LeMat-Bulk.

The value obtained for the raw formation energy is -184.5 kJ/mol of atoms. The electronic total energy is -7.744 eV per atom. The space group is R-3m (166).

Lattice parameters (Å, degrees): 7.575 7.575 7.575 58.44 58.44 58.44
Positions (direct):
K (0.144, 0.144, 0.144)
K (0.856, 0.856, 0.856)
Ce (0.500, 0.500, 0.500)
Re (0.000, 0.500, 0.500)
Re (0.500, 0.000, 0.500)
Re (0.500, 0.500, 0.000)
O (0.137, 0.582, 0.582)
O (0.202, 0.202, 0.570)
O (0.202, 0.570, 0.202)
O (0.418, 0.418, 0.863)
O (0.418, 0.863, 0.418)
O (0.430, 0.798, 0.798)
O (0.570, 0.202, 0.202)
O (0.582, 0.137, 0.582)
O (0.582, 0.582, 0.137)
O (0.798, 0.430, 0.798)
O (0.798, 0.798, 0.430)
O (0.863, 0.418, 0.418)


First-principles (GGA-PBE) data for an optimized crystal structure of Sr2TePdPb, as listed in Alexandria via LeMat-Bulk.

The value obtained for the raw formation energy is -65.3 kJ/mol of atoms. The electronic total energy is -3.758 eV per atom. The space group is P4/mmm (123).

Lattice parameters (Å, degrees): 5.941 5.941 5.083 90.00 90.00 90.00
Positions (direct):
Sr (0.000, 0.500, 0.000)
Sr (0.500, 0.000, 0.000)
Te (0.000, 0.000, 0.500)
Pd (0.500, 0.500, 0.000)
Pb (0.500, 0.500, 0.500)


First-principles (GGA-PBE) data for an optimized crystal structure of HfAsW3, as listed in Alexandria via LeMat-Bulk.

The excess energy over the best structure of this formula in the dataset is 1428.7 meV per atom. The electronic total energy is -8.128 eV per atom. The space group is Pm-3m (221). The energy relative to the elements comes out at 2565 meV per atom.

Lattice parameters (Å, degrees): 4.831 4.831 4.831 90.00 90.00 90.00
Positions (direct):
Hf (0.000, 0.000, 0.000)
As (0.500, 0.500, 0.500)
W (0.000, 0.000, 0.500)
W (0.000, 0.500, 0.000)
W (0.500, 0.000, 0.000)


First-principles (GGA-PBE) data for an optimized crystal structure of LaHfZrIr2, as listed in Alexandria via LeMat-Bulk.

The electronic total energy is -9.033 eV per atom. The space group is I-4m2 (119). The energy relative to the elements comes out at -802 meV per atom.

Lattice parameters (Å, degrees): 6.404 6.404 6.404 138.47 138.47 60.18
Positions (direct):
La (0.000, 0.000, 0.000)
Hf (0.250, 0.750, 0.500)
Zr (0.750, 0.250, 0.500)
Ir (0.381, 0.381, 0.000)
Ir (0.619, 0.619, 0.000)


First-principles (GGA-PBE) data for an optimized crystal structure of LiPmS2, as listed in Alexandria via LeMat-Bulk.

The value obtained for the raw formation energy is -162.2 kJ/mol of atoms. The electronic total energy is -5.411 eV per atom. The space group is P4/nmm (129).

Lattice parameters (Å, degrees): 4.074 4.074 11.255 90.00 90.00 90.00
Positions (direct):
Li (0.250, 0.750, 0.000)
Li (0.750, 0.250, 0.000)
Pm (0.250, 0.250, 0.344)
Pm (0.750, 0.750, 0.656)
S (0.250, 0.250, 0.116)
S (0.250, 0.250, 0.616)
S (0.750, 0.750, 0.384)
S (0.750, 0.750, 0.884)


First-principles (GGA-PBE) data for an optimized crystal structure of Zr2AgRh, as listed in Alexandria via LeMat-Bulk.

The electronic total energy is -7.132 eV per atom. The space group is P4mm (99). The energy relative to the elements comes out at -307 meV per atom.

Lattice parameters (Å, degrees): 3.389 3.389 6.708 90.00 90.00 90.00
Positions (direct):
Zr (0.000, 0.000, 0.000)
Zr (0.500, 0.500, 0.300)
Ag (0.000, 0.000, 0.553)
Rh (0.500, 0.500, 0.802)


First-principles (GGA-PBE) data for an optimized crystal structure of HoTi2Pt9, as listed in Alexandria via LeMat-Bulk.

The electronic total energy is -7.172 eV per atom. The space group is P4/mmm (123). The energy relative to the elements comes out at -944 meV per atom.

Lattice parameters (Å, degrees): 4.003 4.003 12.016 90.00 90.00 90.00
Positions (direct):
Ho (0.000, 0.000, 0.000)
Ti (0.000, 0.000, 0.335)
Ti (0.000, 0.000, 0.665)
Pt (0.000, 0.500, 0.180)
Pt (0.000, 0.500, 0.500)
Pt (0.000, 0.500, 0.820)
Pt (0.500, 0.000, 0.180)
Pt (0.500, 0.000, 0.500)
Pt (0.500, 0.000, 0.820)
Pt (0.500, 0.500, 0.000)
Pt (0.500, 0.500, 0.339)
Pt (0.500, 0.500, 0.661)


First-principles (GGA-PBE) data for an optimized crystal structure of PrY4Ho5, as listed in Alexandria via LeMat-Bulk.

The excess energy over the best structure of this formula in the dataset is 277.9 meV per atom. The electronic total energy is -5.054 eV per atom. The space group is I4 (79). The energy relative to the elements comes out at 298 meV per atom.

Lattice parameters (Å, degrees): 7.869 7.869 7.869 99.37 99.37 132.41
Positions (direct):
Pr (0.000, 0.000, 0.000)
Y (0.114, 0.817, 0.393)
Y (0.423, 0.721, 0.607)
Y (0.721, 0.114, 0.297)
Y (0.817, 0.423, 0.703)
Ho (0.042, 0.129, 0.625)
Ho (0.129, 0.504, 0.087)
Ho (0.417, 0.042, 0.913)
Ho (0.504, 0.417, 0.375)
Ho (0.545, 0.545, 0.000)


First-principles (GGA-PBE) data for an optimized crystal structure of Ca2PmInTe4, as listed in Alexandria via LeMat-Bulk.

The value obtained for the raw formation energy is -122.4 kJ/mol of atoms. The electronic total energy is -4.276 eV per atom. The space group is P2/m (10).

Lattice parameters (Å, degrees): 7.757 4.548 8.087 90.00 108.79 90.00
Positions (direct):
Ca (0.000, 0.000, 0.000)
Ca (0.000, 0.500, 0.500)
Pm (0.500, 0.000, 0.500)
In (0.500, 0.500, 0.000)
Te (0.243, 0.000, 0.735)
Te (0.251, 0.500, 0.257)
Te (0.749, 0.500, 0.743)
Te (0.757, 0.000, 0.265)


First-principles (GGA-PBE) data for an optimized crystal structure of NdYAl2Ga2, as listed in Alexandria via LeMat-Bulk.

The electronic total energy is -4.714 eV per atom. The space group is P-3m1 (164). The energy relative to the elements comes out at -586 meV per atom.

Lattice parameters (Å, degrees): 4.317 4.317 8.302 90.00 90.00 120.00
Positions (direct):
Nd (0.000, 0.000, 0.000)
Y (0.000, 0.000, 0.500)
Al (0.333, 0.667, 0.744)
Al (0.667, 0.333, 0.256)
Ga (0.333, 0.667, 0.259)
Ga (0.667, 0.333, 0.741)


First-principles (GGA-PBE) data for an optimized crystal structure of PmDy2Pd9, as listed in Alexandria via LeMat-Bulk.

The electronic total energy is -5.903 eV per atom. The space group is P4/mmm (123). The energy relative to the elements comes out at -845 meV per atom.

Lattice parameters (Å, degrees): 4.147 4.147 12.415 90.00 90.00 90.00
Positions (direct):
Pm (0.000, 0.000, 0.000)
Dy (0.000, 0.000, 0.336)
Dy (0.000, 0.000, 0.664)
Pd (0.000, 0.500, 0.171)
Pd (0.000, 0.500, 0.500)
Pd (0.000, 0.500, 0.829)
Pd (0.500, 0.000, 0.171)
Pd (0.500, 0.000, 0.500)
Pd (0.500, 0.000, 0.829)
Pd (0.500, 0.500, 0.000)
Pd (0.500, 0.500, 0.335)
Pd (0.500, 0.500, 0.665)


First-principles (GGA-PBE) data for an optimized crystal structure of RbCr, as listed in Alexandria via LeMat-Bulk.

The excess energy over the best structure of this formula in the dataset is 250.5 meV per atom. The electronic total energy is -4.219 eV per atom. The space group is Amm2 (38). The energy relative to the elements comes out at 1076 meV per atom.

Lattice parameters (Å, degrees): 4.546 8.062 8.062 122.23 90.00 90.00
Positions (direct):
Rb (0.000, 0.000, 0.000)
Rb (0.500, 0.016, 0.498)
Rb (0.500, 0.498, 0.016)
Cr (0.000, 0.447, 0.582)
Cr (0.000, 0.582, 0.447)
Cr (0.500, 0.554, 0.554)


First-principles (GGA-PBE) data for an optimized crystal structure of NaLiMo3, as listed in Alexandria via LeMat-Bulk.

The excess energy over the best structure of this formula in the dataset is 0.0 meV per atom. The electronic total energy is -5.449 eV per atom. The space group is Pm-3m (221). The energy relative to the elements comes out at 1696 meV per atom.

Lattice parameters (Å, degrees): 4.363 4.363 4.363 90.00 90.00 90.00
Positions (direct):
Na (0.000, 0.000, 0.000)
Li (0.500, 0.500, 0.500)
Mo (0.000, 0.500, 0.500)
Mo (0.500, 0.000, 0.500)
Mo (0.500, 0.500, 0.000)


First-principles (GGA-PBE) data for an optimized crystal structure of Nd2PPt, as listed in Alexandria via LeMat-Bulk.

The excess energy over the best structure of this formula in the dataset is 0.0 meV per atom. The electronic total energy is -6.439 eV per atom. The space group is R-3m (166). The energy relative to the elements comes out at -1193 meV per atom.

Lattice parameters (Å, degrees): 7.438 7.438 7.438 32.25 32.25 32.25
Positions (direct):
Nd (0.248, 0.248, 0.248)
Nd (0.752, 0.752, 0.752)
P (0.500, 0.500, 0.500)
Pt (0.000, 0.000, 0.000)


First-principles (GGA-PBE) data for an optimized crystal structure of Na3Ac2SnO6, as listed in Alexandria via LeMat-Bulk.

The value obtained for the raw formation energy is -203.8 kJ/mol of atoms. The electronic total energy is -5.939 eV per atom. The space group is C2/m (12).

Lattice parameters (Å, degrees): 6.404 6.404 6.037 98.92 98.92 120.98
Positions (direct):
Na (0.000, 0.000, 0.000)
Na (0.362, 0.638, 0.000)
Na (0.638, 0.362, 0.000)
Ac (0.168, 0.832, 0.500)
Ac (0.832, 0.168, 0.500)
Sn (0.500, 0.500, 0.500)
O (0.130, 0.433, 0.283)
O (0.250, 0.250, 0.719)
O (0.433, 0.130, 0.283)
O (0.567, 0.870, 0.717)
O (0.750, 0.750, 0.281)
O (0.870, 0.567, 0.717)